(1)
Density functional theory data (PBE-GGA) for a relaxed NaGa4Au12 crystal.

Computed properties:
calculated density = 12.16 g cm⁻³
magnetic moment = 0.0000 μB per atom
energy relative to the elements = 25 meV/atom
symmetry = Im-3, No. 204

Lattice parameters (Å, degrees): 7.790 7.790 7.790 109.47 109.47 109.47
Element x y z (fractional)
Ga 0.500 0.500 0.500
Ga 0.500 0.000 0.000
Ga 0.000 0.000 0.500
Ga 0.000 0.500 0.000
Au 0.655 0.810 0.155
Au 0.190 0.845 0.345
Au 0.845 0.345 0.190
Au 0.155 0.655 0.810
Au 0.655 0.499 0.845
Au 0.499 0.845 0.655
Au 0.345 0.190 0.845
Au 0.345 0.501 0.155
Au 0.810 0.155 0.655
Au 0.845 0.655 0.499
Au 0.501 0.155 0.345
Au 0.155 0.345 0.501
Na 0.000 0.000 0.000



(2)
Density functional theory data (PBE-GGA) for a relaxed Na2GaAu2 crystal.

Computed properties:
calculated density = 6.88 g cm⁻³
magnetic moment = 0.0000 μB per atom
energy relative to the elements = -38 meV/atom
symmetry = I4/mmm, No. 139
excess energy over the best structure of this formula in the dataset = 275.3 meV per atom

Lattice parameters (Å, degrees): 3.856 3.856 8.707 77.21 77.21 90.00
Element x y z (fractional)
Na 0.607 0.607 0.785
Na 0.393 0.393 0.215
Au 0.750 0.250 0.500
Au 0.250 0.750 0.500
Ga 0.000 0.000 0.000



(3)
Density functional theory data (PBE-GGA) for a relaxed Na3Ga2Au7 crystal.

Computed properties:
calculated density = 10.57 g cm⁻³
magnetic moment = 0.0000 μB per atom
energy relative to the elements = -300 meV/atom
symmetry = R-3m, No. 166

Lattice parameters (Å, degrees): 5.706 5.706 9.437 72.40 72.40 60.00
Element x y z (fractional)
Na 0.143 0.143 0.572
Na 0.857 0.857 0.428
Na 0.000 0.000 0.000
Au 0.419 0.922 0.239
Au 0.419 0.419 0.239
Au 0.078 0.581 0.761
Au 0.922 0.419 0.239
Au 0.500 0.500 0.500
Au 0.581 0.078 0.761
Au 0.581 0.581 0.761
Ga 0.667 0.667 0.998
Ga 0.333 0.333 0.002



- Which value of magnetic moment does entry 2 give?
  0.0000 μB per atom



- Which formula does entry 2 have?
  Na2GaAu2



- Which formula does entry 3 have?
  Na3Ga2Au7



- What is the magnetic moment in the first record?
  0.0000 μB per atom